(1)
# PmNdCo2, relaxed, DFT PBE
data_PmNdCo2
_symmetry_space_group_name_H-M 'P 1'
_symmetry_Int_Tables_number 1
_cell_length_a 3.457
_cell_length_b 3.457
_cell_length_c 6.912
_cell_angle_alpha 90.00
_cell_angle_beta 90.00
_cell_angle_gamma 90.00
loop_
_symmetry_equiv_pos_as_xyz
'x,y,z'
loop_
_atom_site_label
_atom_site_fract_x
_atom_site_fract_y
_atom_site_fract_z
_atom_site_occupancy
Pm1 0.500 0.500 0.000 1
Nd1 0.500 0.500 0.500 1
Co1 0.000 0.000 0.247 1
Co2 0.000 0.000 0.753 1
# crystal system = tetragonal
# energy above the lowest structure with this stoichiometry = 0.118 eV per atom
# ΔE_f = 0.0419 eV per atom



(2)
# Er2Si7Ru12, relaxed, DFT PBE
data_Er2Si7Ru12
_symmetry_space_group_name_H-M 'P 1'
_symmetry_Int_Tables_number 1
_cell_length_a 3.932
_cell_length_b 9.591
_cell_length_c 9.591
_cell_angle_alpha 120.00
_cell_angle_beta 90.00
_cell_angle_gamma 90.00
loop_
_symmetry_equiv_pos_as_xyz
'x,y,z'
loop_
_atom_site_label
_atom_site_fract_x
_atom_site_fract_y
_atom_site_fract_z
_atom_site_occupancy
Er1 0.000 0.667 0.333 1
Ru1 0.500 0.236 0.779 1
Si1 0.000 0.333 0.667 1
Ru2 0.000 0.056 0.544 1
Ru3 0.500 0.542 0.764 1
Si2 0.000 0.741 0.957 1
Ru4 0.000 0.456 0.513 1
Ru5 0.000 0.959 0.236 1
Ru6 0.500 0.717 0.098 1
Ru7 0.000 0.487 0.944 1
Ru8 0.500 0.381 0.283 1
Ru9 0.500 0.902 0.619 1
Ru10 0.000 0.276 0.041 1
Si3 0.000 0.216 0.259 1
Si4 0.000 0.043 0.784 1
Ru11 0.000 0.764 0.724 1
Er2 0.500 0.000 0.000 1
Si5 0.500 0.442 0.066 1
Si6 0.500 0.934 0.376 1
Si7 0.500 0.624 0.558 1
Ru12 0.500 0.221 0.458 1
# crystal system = hexagonal
# formation energy (no corrections) = -12.40 eV/f.u.



(3)
# CsRb, relaxed, DFT PBE
data_CsRb
_symmetry_space_group_name_H-M 'P 1'
_symmetry_Int_Tables_number 1
_cell_length_a 6.793
_cell_length_b 6.793
_cell_length_c 6.793
_cell_angle_alpha 60.00
_cell_angle_beta 60.00
_cell_angle_gamma 60.00
loop_
_symmetry_equiv_pos_as_xyz
'x,y,z'
loop_
_atom_site_label
_atom_site_fract_x
_atom_site_fract_y
_atom_site_fract_z
_atom_site_occupancy
Cs1 0.500 0.500 0.500 1
Rb1 0.000 0.000 0.000 1
# crystal system = cubic
# energy above the lowest structure with this stoichiometry = 0.096 eV per atom
# ΔE_f = 0.0951 eV per atom



(4)
# TlCd2Au, relaxed, DFT PBE
data_TlCd2Au
_symmetry_space_group_name_H-M 'P 1'
_symmetry_Int_Tables_number 1
_cell_length_a 3.978
_cell_length_b 3.978
_cell_length_c 8.000
_cell_angle_alpha 75.60
_cell_angle_beta 75.60
_cell_angle_gamma 60.00
loop_
_symmetry_equiv_pos_as_xyz
'x,y,z'
loop_
_atom_site_label
_atom_site_fract_x
_atom_site_fract_y
_atom_site_fract_z
_atom_site_occupancy
Au1 0.667 0.667 0.999 1
Cd1 0.263 0.263 0.211 1
Cd2 0.071 0.071 0.787 1
Tl1 0.499 0.499 0.502 1
# crystal system = trigonal
# energy above the lowest structure with this stoichiometry = 0.104 eV per atom
# ΔE_f = 0.0120 eV per atom



(5)
# La2NdHg2, relaxed, DFT PBE
data_La2NdHg2
_symmetry_space_group_name_H-M 'P 1'
_symmetry_Int_Tables_number 1
_cell_length_a 3.890
_cell_length_b 5.536
_cell_length_c 14.443
_cell_angle_alpha 90.00
_cell_angle_beta 97.76
_cell_angle_gamma 90.00
loop_
_symmetry_equiv_pos_as_xyz
'x,y,z'
loop_
_atom_site_label
_atom_site_fract_x
_atom_site_fract_y
_atom_site_fract_z
_atom_site_occupancy
Hg1 0.554 0.250 0.105 1
Hg2 0.641 0.750 0.284 1
La1 0.767 0.250 0.530 1
Nd1 0.852 0.750 0.709 1
La2 0.233 0.750 0.470 1
Hg3 0.446 0.750 0.895 1
Hg4 0.359 0.250 0.716 1
La3 0.046 0.750 0.091 1
Nd2 0.148 0.250 0.291 1
La4 0.954 0.250 0.909 1
# crystal system = monoclinic
# energy above the lowest structure with this stoichiometry = 0.000 eV per atom
# ΔE_f = -0.3789 eV per atom



(6)
# MnCd2Ru, relaxed, DFT PBE
data_MnCd2Ru
_symmetry_space_group_name_H-M 'P 1'
_symmetry_Int_Tables_number 1
_cell_length_a 9.627
_cell_length_b 9.627
_cell_length_c 9.627
_cell_angle_alpha 17.40
_cell_angle_beta 17.40
_cell_angle_gamma 17.40
loop_
_symmetry_equiv_pos_as_xyz
'x,y,z'
loop_
_atom_site_label
_atom_site_fract_x
_atom_site_fract_y
_atom_site_fract_z
_atom_site_occupancy
Mn1 0.491 0.491 0.491 1
Cd1 0.242 0.242 0.242 1
Cd2 0.008 0.008 0.008 1
Ru1 0.759 0.759 0.759 1
# crystal system = trigonal
# energy above the lowest structure with this stoichiometry = 0.067 eV per atom
# ΔE_f = 0.2267 eV per atom



(7)
# YbMo6S8, relaxed, DFT PBE
data_YbMo6S8
_symmetry_space_group_name_H-M 'P 1'
_symmetry_Int_Tables_number 1
_cell_length_a 6.841
_cell_length_b 6.578
_cell_length_c 8.130
_cell_angle_alpha 84.66
_cell_angle_beta 57.70
_cell_angle_gamma 69.32
loop_
_symmetry_equiv_pos_as_xyz
'x,y,z'
loop_
_atom_site_label
_atom_site_fract_x
_atom_site_fract_y
_atom_site_fract_z
_atom_site_occupancy
S1 0.985 0.063 0.671 1
Mo1 0.872 0.457 0.692 1
S2 0.696 0.591 0.486 1
S3 0.304 0.409 0.514 1
S4 0.015 0.937 0.329 1
Mo2 0.680 0.240 0.587 1
Mo3 0.463 0.728 0.033 1
Mo4 0.537 0.272 0.967 1
Mo5 0.320 0.760 0.413 1
S5 0.221 0.572 0.974 1
Mo6 0.128 0.543 0.308 1
S6 0.779 0.428 0.026 1
S7 0.454 0.023 0.816 1
S8 0.546 0.977 0.184 1
Yb1 0.000 0.000 0.000 1
# crystal system = triclinic
# energy above the lowest structure with this stoichiometry = 0.337 eV per atom
# formation energy (no corrections) = -8.25 eV/f.u.



(8)
# MgNpAl2, relaxed, DFT PBE
data_MgNpAl2
_symmetry_space_group_name_H-M 'P 1'
_symmetry_Int_Tables_number 1
_cell_length_a 2.881
_cell_length_b 2.881
_cell_length_c 9.333
_cell_angle_alpha 90.00
_cell_angle_beta 90.00
_cell_angle_gamma 90.00
loop_
_symmetry_equiv_pos_as_xyz
'x,y,z'
loop_
_atom_site_label
_atom_site_fract_x
_atom_site_fract_y
_atom_site_fract_z
_atom_site_occupancy
Mg1 0.500 0.500 0.000 1
Al1 0.000 0.000 0.758 1
Al2 0.000 0.000 0.242 1
Np1 0.500 0.500 0.500 1
# crystal system = tetragonal
# ΔE_f = 0.0405 eV per atom



(9)
# Li12AcHg6, relaxed, DFT PBE
data_Li12AcHg6
_symmetry_space_group_name_H-M 'P 1'
_symmetry_Int_Tables_number 1
_cell_length_a 7.593
_cell_length_b 7.593
_cell_length_c 7.593
_cell_angle_alpha 102.13
_cell_angle_beta 102.13
_cell_angle_gamma 102.13
loop_
_symmetry_equiv_pos_as_xyz
'x,y,z'
loop_
_atom_site_label
_atom_site_fract_x
_atom_site_fract_y
_atom_site_fract_z
_atom_site_occupancy
Li1 0.436 0.436 0.162 1
Hg1 0.276 0.755 0.755 1
Hg2 0.245 0.245 0.724 1
Li2 0.500 0.889 0.111 1
Li3 0.436 0.162 0.436 1
Li4 0.162 0.436 0.436 1
Li5 0.500 0.111 0.889 1
Li6 0.111 0.500 0.889 1
Li7 0.889 0.111 0.500 1
Li8 0.838 0.564 0.564 1
Hg3 0.755 0.276 0.755 1
Hg4 0.245 0.724 0.245 1
Li9 0.889 0.500 0.111 1
Li10 0.564 0.838 0.564 1
Ac1 0.000 0.000 0.000 1
Hg5 0.724 0.245 0.245 1
Hg6 0.755 0.755 0.276 1
Li11 0.564 0.564 0.838 1
Li12 0.111 0.889 0.500 1
# crystal system = trigonal
# ΔE_f = -0.2362 eV per atom



(10)
# CeThTlIn, relaxed, DFT PBE
data_CeThTlIn
_symmetry_space_group_name_H-M 'P 1'
_symmetry_Int_Tables_number 1
_cell_length_a 5.497
_cell_length_b 5.497
_cell_length_c 5.497
_cell_angle_alpha 60.00
_cell_angle_beta 60.00
_cell_angle_gamma 60.00
loop_
_symmetry_equiv_pos_as_xyz
'x,y,z'
loop_
_atom_site_label
_atom_site_fract_x
_atom_site_fract_y
_atom_site_fract_z
_atom_site_occupancy
In1 0.000 0.000 0.000 1
Ce1 0.750 0.750 0.750 1
Tl1 0.500 0.500 0.500 1
Th1 0.250 0.250 0.250 1
# crystal system = cubic
# energy above the lowest structure with this stoichiometry = 0.062 eV per atom
# ΔE_f = -0.1869 eV per atom



(11)
# BeNbAs2Br, relaxed, DFT PBE
data_BeNbAs2Br
_symmetry_space_group_name_H-M 'P 1'
_symmetry_Int_Tables_number 1
_cell_length_a 5.007
_cell_length_b 5.007
_cell_length_c 5.252
_cell_angle_alpha 90.00
_cell_angle_beta 90.00
_cell_angle_gamma 90.00
loop_
_symmetry_equiv_pos_as_xyz
'x,y,z'
loop_
_atom_site_label
_atom_site_fract_x
_atom_site_fract_y
_atom_site_fract_z
_atom_site_occupancy
Nb1 0.000 0.000 0.000 1
As1 0.000 0.500 0.000 1
Br1 0.000 0.000 0.500 1
Be1 0.500 0.500 0.500 1
As2 0.500 0.000 0.000 1
# crystal system = tetragonal
# energy above the lowest structure with this stoichiometry = 0.040 eV per atom
# formation energy (no corrections) = 3.27 eV/f.u.